# 1
PmTcO4F: relaxed, PBE.

Cell and atoms, written as CIF:
```
data_PmTcO4F
_chemical_formula_sum 'Pm2 Tc2 O8 F2'
_symmetry_space_group_name_H-M 'P 1 21/m 1'
_symmetry_Int_Tables_number 11
_cell_length_a 5.573
_cell_length_b 7.340
_cell_length_c 6.258
_cell_angle_alpha 90.00
_cell_angle_beta 108.30
_cell_angle_gamma 90.00
loop_
_symmetry_equiv_pos_as_xyz
'x,y,z'
'-x,-y,-z'
'-x,y+1/2,-z'
'x,-y+1/2,z'
loop_
_atom_site_label
_atom_site_fract_x
_atom_site_fract_y
_atom_site_fract_z
Pm1 0.063 0.250 0.385
Tc1 0.337 0.750 0.336
O1 0.134 0.564 0.368
O2 0.398 0.250 0.757
O3 0.472 0.250 0.365
F1 0.128 0.750 0.982
```

Properties
magnetization = 2.001 μB/cell
mass density = 4.45 Mg/m³
uncorrected formation energy = -2.2468 eV per atom

***

# 2
Zr4AlO: relaxed, PBE.

Cell and atoms, written as CIF:
```
data_Zr4AlO
_chemical_formula_sum 'Zr8 Al2 O2'
_symmetry_space_group_name_H-M 'P 1 21/c 1'
_symmetry_Int_Tables_number 14
_cell_length_a 6.082
_cell_length_b 6.227
_cell_length_c 6.069
_cell_angle_alpha 90.00
_cell_angle_beta 93.77
_cell_angle_gamma 90.00
loop_
_symmetry_equiv_pos_as_xyz
'x,y,z'
'-x,-y,-z'
'-x,y+1/2,-z+1/2'
'x,-y+1/2,z+1/2'
loop_
_atom_site_label
_atom_site_fract_x
_atom_site_fract_y
_atom_site_fract_z
Zr1 0.108 0.161 0.171
Zr2 0.327 0.625 0.097
Al1 0.500 0.000 0.000
O1 0.000 0.000 0.500
```

Properties
magnetization = 0.000 μB/cell
mass density = 5.91 Mg/m³
uncorrected formation energy = -0.8426 eV per atom

***

# 3
TbTaC2: relaxed, PBE.

Cell and atoms, written as CIF:
```
data_TbTaC2
_chemical_formula_sum 'Tb3 Ta3 C6'
_symmetry_space_group_name_H-M 'R -3 m'
_symmetry_Int_Tables_number 166
_symmetry_space_group_name_Hall '-R 3 2"'
_cell_length_a 3.3141
_cell_length_b 3.3141
_cell_length_c 16.8619
_cell_angle_alpha 90.00
_cell_angle_beta 90.00
_cell_angle_gamma 120.00
loop_
_atom_site_label
_atom_site_fract_x
_atom_site_fract_y
_atom_site_fract_z
Tb1 0.0000 0.0000 0.0000
Ta1 0.0000 0.0000 0.5000
C1 0.0000 0.0000 0.2384
```

Properties
relative energy among the computed polymorphs = 0.0 meV per atom
magnetization = 0.000 μB/cell
mass density = 11.30 Mg/m³
E_form = -464 meV/atom

***

# 4
Tm2ZnGe4Ir3: relaxed, PBE.

Cell and atoms, written as CIF:
```
data_Tm2ZnGe4Ir3
_chemical_formula_sum 'Tm2 Zn1 Ge4 Ir3'
_symmetry_space_group_name_H-M 'P -4 m 2'
_symmetry_Int_Tables_number 115
_cell_length_a 4.151
_cell_length_b 4.151
_cell_length_c 10.488
_cell_angle_alpha 90.00
_cell_angle_beta 90.00
_cell_angle_gamma 90.00
loop_
_symmetry_equiv_pos_as_xyz
'x,y,z'
'y,-x,-z'
'-x,-y,z'
'-y,x,-z'
'-x,y,z'
'-y,-x,-z'
'x,-y,z'
'y,x,-z'
loop_
_atom_site_label
_atom_site_fract_x
_atom_site_fract_y
_atom_site_fract_z
Tm1 0.000 0.500 0.244
Zn1 0.000 0.000 0.500
Ge1 0.000 0.000 0.000
Ge2 0.000 0.500 0.640
Ge3 0.500 0.500 0.000
Ir1 0.000 0.500 0.870
Ir2 0.500 0.500 0.500
```

Properties
magnetization = 0.000 μB/cell
mass density = 11.68 Mg/m³
E_form = -609 meV/atom

***

# 5
CsVMoCl6: relaxed, PBE.

Cell and atoms, written as CIF:
```
data_CsVMoCl6
_chemical_formula_sum 'Cs1 V1 Mo1 Cl6'
_symmetry_space_group_name_H-M 'P 3 1 2'
_symmetry_Int_Tables_number 149
_cell_length_a 6.4815
_cell_length_b 6.4815
_cell_length_c 7.8928
_cell_angle_alpha 90.00
_cell_angle_beta 90.00
_cell_angle_gamma 120.00
loop_
_symmetry_equiv_pos_as_xyz
'x,y,z'
'-y,x-y,z'
'-x+y,-x,z'
'-y,-x,-z'
'-x+y,y,-z'
'x,x-y,-z'
loop_
_atom_site_label
_atom_site_fract_x
_atom_site_fract_y
_atom_site_fract_z
Cs1 0.0000 0.0000 0.0000
V1 0.6667 0.3333 0.5000
Mo1 0.3333 0.6667 0.5000
Cl1 0.0025 0.3683 0.3240
```

Properties
magnetization = 6.000 μB/cell
mass density = 2.85 Mg/m³
uncorrected formation energy = -1.2201 eV per atom

***

# 6
Ba2Zn6Au3: relaxed, PBE.

Cell and atoms, written as CIF:
```
data_Ba2Zn6Au3
_chemical_formula_sum 'Ba2 Zn6 Au3'
_symmetry_space_group_name_H-M 'P -6 2 m'
_symmetry_Int_Tables_number 189
_symmetry_space_group_name_Hall 'P -6 -2'
_cell_length_a 8.1882
_cell_length_b 8.1882
_cell_length_c 4.3624
_cell_angle_alpha 90.00
_cell_angle_beta 90.00
_cell_angle_gamma 120.00
loop_
_atom_site_label
_atom_site_fract_x
_atom_site_fract_y
_atom_site_fract_z
Ba1 0.3333 0.6667 0.0000
Zn1 0.0000 0.1816 0.0000
Zn2 0.0000 0.7149 0.5000
Au1 0.0000 0.3739 0.5000
```

Properties
magnetization = 0.000 μB/cell
mass density = 8.25 Mg/m³
E_form = -350 meV/atom

***

# 7
BaLi2SiNi: relaxed, PBE.

Cell and atoms, written as CIF:
```
data_BaLi2SiNi
_chemical_formula_sum 'Ba1 Li2 Si1 Ni1'
_symmetry_space_group_name_H-M 'P 4/m m m'
_symmetry_Int_Tables_number 123
_symmetry_space_group_name_Hall '-P 4 2'
_cell_length_a 4.902
_cell_length_b 4.902
_cell_length_c 4.520
_cell_angle_alpha 90.00
_cell_angle_beta 90.00
_cell_angle_gamma 90.00
loop_
_atom_site_label
_atom_site_fract_x
_atom_site_fract_y
_atom_site_fract_z
Ba1 0.000 0.000 0.000
Li1 0.000 0.500 0.500
Si1 0.500 0.500 0.500
Ni1 0.500 0.500 0.000
```

Properties
relative energy among the computed polymorphs = 61.4 meV per atom
magnetization = 0.036 μB/cell
mass density = 3.64 Mg/m³
uncorrected formation energy = -0.1280 eV per atom

***

# 8
La2MnRh: relaxed, PBE.

Cell and atoms, written as CIF:
```
data_La2MnRh
_chemical_formula_sum 'La4 Mn2 Rh2'
_symmetry_space_group_name_H-M 'I -4 m 2'
_symmetry_Int_Tables_number 119
_symmetry_space_group_name_Hall 'I -4 -2'
_cell_length_a 4.179
_cell_length_b 4.179
_cell_length_c 10.784
_cell_angle_alpha 90.00
_cell_angle_beta 90.00
_cell_angle_gamma 90.00
loop_
_atom_site_label
_atom_site_fract_x
_atom_site_fract_y
_atom_site_fract_z
La1 0.000 0.000 0.000
La2 0.000 0.500 0.250
Mn1 0.000 0.500 0.750
Rh1 0.000 0.000 0.500
```

Properties
relative energy among the computed polymorphs = 195.3 meV per atom
magnetization = 5.746 μB/cell
mass density = 7.68 Mg/m³
E_form = -56 meV/atom

***

# 9
Ni4MoPb: relaxed, PBE.

Cell and atoms, written as CIF:
```
data_Ni4MoPb
_chemical_formula_sum 'Ni16 Mo4 Pb4'
_symmetry_space_group_name_H-M 'F -4 3 m'
_symmetry_Int_Tables_number 216
_symmetry_space_group_name_Hall 'F -4 2 3'
_cell_length_a 6.880
_cell_length_b 6.880
_cell_length_c 6.880
_cell_angle_alpha 90.00
_cell_angle_beta 90.00
_cell_angle_gamma 90.00
loop_
_atom_site_label
_atom_site_fract_x
_atom_site_fract_y
_atom_site_fract_z
Ni1 0.124 0.124 0.376
Mo1 0.250 0.250 0.750
Pb1 0.000 0.000 0.000
```

Properties
magnetization = 9.166 μB/cell
mass density = 10.97 Mg/m³
E_form = 247 meV/atom

***

# 10
SrGa2SiSb: relaxed, PBE.

Cell and atoms, written as CIF:
```
data_SrGa2SiSb
_chemical_formula_sum 'Sr1 Ga2 Si1 Sb1'
_symmetry_space_group_name_H-M 'P 4/m m m'
_symmetry_Int_Tables_number 123
_symmetry_space_group_name_Hall '-P 4 2'
_cell_length_a 4.935
_cell_length_b 4.935
_cell_length_c 5.580
_cell_angle_alpha 90.00
_cell_angle_beta 90.00
_cell_angle_gamma 90.00
loop_
_atom_site_label
_atom_site_fract_x
_atom_site_fract_y
_atom_site_fract_z
Sr1 0.000 0.000 0.000
Ga1 0.000 0.500 0.500
Si1 0.500 0.500 0.500
Sb1 0.500 0.500 0.000
```

Properties
magnetization = 0.000 μB/cell
mass density = 4.61 Mg/m³
uncorrected formation energy = -0.0744 eV per atom

***

# 11
NaNiHg2Bi: relaxed, PBE.

Cell and atoms, written as CIF:
```
data_NaNiHg2Bi
_chemical_formula_sum 'Na1 Ni1 Hg2 Bi1'
_symmetry_space_group_name_H-M 'P 4/m m m'
_symmetry_Int_Tables_number 123
_symmetry_space_group_name_Hall '-P 4 2'
_cell_length_a 5.116
_cell_length_b 5.116
_cell_length_c 5.085
_cell_angle_alpha 90.00
_cell_angle_beta 90.00
_cell_angle_gamma 90.00
loop_
_atom_site_label
_atom_site_fract_x
_atom_site_fract_y
_atom_site_fract_z
Na1 0.000 0.000 0.000
Ni1 0.500 0.500 0.500
Hg1 0.000 0.500 0.500
Bi1 0.500 0.500 0.000
```

Properties
magnetization = 0.000 μB/cell
mass density = 8.63 Mg/m³
E_form = -13 meV/atom

***

# 12
Ta2ReSb: relaxed, PBE.

Cell and atoms, written as CIF:
```
data_Ta2ReSb
_chemical_formula_sum 'Ta8 Re4 Sb4'
_symmetry_space_group_name_H-M 'I -4 2 d'
_symmetry_Int_Tables_number 122
_symmetry_space_group_name_Hall 'I -4 2bw'
_cell_length_a 4.050
_cell_length_b 4.050
_cell_length_c 19.221
_cell_angle_alpha 90.00
_cell_angle_beta 90.00
_cell_angle_gamma 90.00
loop_
_atom_site_label
_atom_site_fract_x
_atom_site_fract_y
_atom_site_fract_z
Ta1 0.246 0.250 0.125
Re1 0.000 0.000 0.500
Sb1 0.000 0.000 0.000
```

Properties
magnetization = 0.000 μB/cell
mass density = 14.11 Mg/m³
uncorrected formation energy = 0.7404 eV per atom

***

# 13
Ge2BOsI: relaxed, PBE.

Cell and atoms, written as CIF:
```
data_Ge2BOsI
_chemical_formula_sum 'Ge2 B1 Os1 I1'
_symmetry_space_group_name_H-M 'P 4/m m m'
_symmetry_Int_Tables_number 123
_symmetry_space_group_name_Hall '-P 4 2'
_cell_length_a 5.494
_cell_length_b 5.494
_cell_length_c 4.834
_cell_angle_alpha 90.00
_cell_angle_beta 90.00
_cell_angle_gamma 90.00
loop_
_atom_site_label
_atom_site_fract_x
_atom_site_fract_y
_atom_site_fract_z
Ge1 0.000 0.500 0.000
B1 0.000 0.000 0.500
Os1 0.500 0.500 0.500
I1 0.500 0.500 0.000
```

Properties
magnetization = 0.000 μB/cell
mass density = 5.39 Mg/m³
uncorrected formation energy = 2.6854 eV per atom

***

# 14
K2ZrRh: relaxed, PBE.

Cell and atoms, written as CIF:
```
data_K2ZrRh
_chemical_formula_sum 'K2 Zr1 Rh1'
_symmetry_space_group_name_H-M 'P 4/m m m'
_symmetry_Int_Tables_number 123
_symmetry_space_group_name_Hall '-P 4 2'
_cell_length_a 6.466
_cell_length_b 6.466
_cell_length_c 2.862
_cell_angle_alpha 90.00
_cell_angle_beta 90.00
_cell_angle_gamma 90.00
loop_
_atom_site_label
_atom_site_fract_x
_atom_site_fract_y
_atom_site_fract_z
K1 0.000 0.500 0.000
Zr1 0.000 0.000 0.500
Rh1 0.500 0.500 0.500
```

Properties
relative energy among the computed polymorphs = 1201.2 meV per atom
magnetization = 0.955 μB/cell
mass density = 3.78 Mg/m³
E_form = 1315 meV/atom

***

# 15
InTcHg2: relaxed, PBE.

Cell and atoms, written as CIF:
```
data_InTcHg2
_chemical_formula_sum 'In1 Tc1 Hg2'
_symmetry_space_group_name_H-M 'P 1 2/m 1'
_symmetry_Int_Tables_number 10
_cell_length_a 5.100
_cell_length_b 3.171
_cell_length_c 5.286
_cell_angle_alpha 90.00
_cell_angle_beta 110.17
_cell_angle_gamma 90.00
loop_
_symmetry_equiv_pos_as_xyz
'x,y,z'
'-x,-y,-z'
'-x,y,-z'
'x,-y,z'
loop_
_atom_site_label
_atom_site_fract_x
_atom_site_fract_y
_atom_site_fract_z
In1 0.000 0.000 0.000
Tc1 0.500 0.500 0.000
Hg1 0.000 0.500 0.500
Hg2 0.500 0.000 0.500
```

Properties
magnetization = 1.315 μB/cell
mass density = 12.70 Mg/m³
E_form = 435 meV/atom

***

# 16
Pr4Dy2Sc3: relaxed, PBE.

Cell and atoms, written as CIF:
```
data_Pr4Dy2Sc3
_chemical_formula_sum 'Pr8 Dy4 Sc6'
_symmetry_space_group_name_H-M 'C 1 2/m 1'
_symmetry_Int_Tables_number 12
_cell_length_a 11.017
_cell_length_b 5.036
_cell_length_c 10.537
_cell_angle_alpha 90.00
_cell_angle_beta 107.64
_cell_angle_gamma 90.00
loop_
_symmetry_equiv_pos_as_xyz
'x,y,z'
'-x,-y,-z'
'-x,y,-z'
'x,-y,z'
'x+1/2,y+1/2,z'
'-x+1/2,-y+1/2,-z'
'-x+1/2,y+1/2,-z'
'x+1/2,-y+1/2,z'
loop_
_atom_site_label
_atom_site_fract_x
_atom_site_fract_y
_atom_site_fract_z
Pr1 0.007 0.000 0.336
Pr2 0.166 0.500 0.887
Dy1 0.171 0.500 0.229
Sc1 0.000 0.000 0.000
Sc2 0.164 0.500 0.551
```

Properties
magnetization = 0.000 μB/cell
mass density = 6.10 Mg/m³
E_form = 53 meV/atom

***

# 17
NdPuSe3: relaxed, PBE.

Cell and atoms, written as CIF:
```
data_NdPuSe3
_chemical_formula_sum 'Nd2 Pu2 Se6'
_symmetry_space_group_name_H-M 'P 63 m c'
_symmetry_Int_Tables_number 186
_symmetry_space_group_name_Hall 'P 6c -2c'
_cell_length_a 4.2683
_cell_length_b 4.2683
_cell_length_c 19.9268
_cell_angle_alpha 90.00
_cell_angle_beta 90.00
_cell_angle_gamma 120.00
loop_
_atom_site_label
_atom_site_fract_x
_atom_site_fract_y
_atom_site_fract_z
Nd1 0.3333 0.6667 0.0000
Pu1 0.0000 0.0000 0.1859
Se1 0.0000 0.0000 0.4286
Se2 0.3333 0.6667 0.2540
Se3 0.3333 0.6667 0.5975
```

Properties
relative energy among the computed polymorphs = 93.8 meV per atom
magnetization = 10.000 μB/cell
mass density = 6.60 Mg/m³
uncorrected formation energy = -1.5879 eV per atom

***

# 18
BAu2C: relaxed, PBE.

Cell and atoms, written as CIF:
```
data_BAu2C
_chemical_formula_sum 'B1 Au2 C1'
_symmetry_space_group_name_H-M 'P m m 2'
_symmetry_Int_Tables_number 25
_cell_length_a 2.824
_cell_length_b 3.216
_cell_length_c 6.366
_cell_angle_alpha 90.00
_cell_angle_beta 90.00
_cell_angle_gamma 90.00
loop_
_symmetry_equiv_pos_as_xyz
'x,y,z'
'-x,-y,z'
'-x,y,z'
'x,-y,z'
loop_
_atom_site_label
_atom_site_fract_x
_atom_site_fract_y
_atom_site_fract_z
B1 0.000 0.000 0.000
Au1 0.000 0.500 0.270
Au2 0.500 0.000 0.594
C1 0.500 0.000 0.929
```

Properties
relative energy among the computed polymorphs = 267.1 meV per atom
magnetization = 0.000 μB/cell
mass density = 11.97 Mg/m³
E_form = 558 meV/atom

***

# 19
Na2MgH2Cl2: relaxed, PBE.

Cell and atoms, written as CIF:
```
data_Na2MgH2Cl2
_chemical_formula_sum 'Na4 Mg2 H4 Cl4'
_symmetry_space_group_name_H-M 'I 4/m m m'
_symmetry_Int_Tables_number 139
_symmetry_space_group_name_Hall '-I 4 2'
_cell_length_a 3.929
_cell_length_b 3.929
_cell_length_c 15.371
_cell_angle_alpha 90.00
_cell_angle_beta 90.00
_cell_angle_gamma 90.00
loop_
_atom_site_label
_atom_site_fract_x
_atom_site_fract_y
_atom_site_fract_z
Na1 0.000 0.000 0.136
Mg1 0.000 0.000 0.500
H1 0.000 0.500 0.000
Cl1 0.000 0.000 0.335
```

Properties
magnetization = 0.000 μB/cell
electronic total energy = -21.95 eV per formula unit
mass density = 2.00 Mg/m³

***

# 20
Al2RePt: relaxed, PBE.

Cell and atoms, written as CIF:
```
data_Al2RePt
_chemical_formula_sum 'Al2 Re1 Pt1'
_symmetry_space_group_name_H-M 'P 1 2/m 1'
_symmetry_Int_Tables_number 10
_cell_length_a 2.775
_cell_length_b 4.084
_cell_length_c 5.329
_cell_angle_alpha 90.00
_cell_angle_beta 91.64
_cell_angle_gamma 90.00
loop_
_symmetry_equiv_pos_as_xyz
'x,y,z'
'-x,-y,-z'
'-x,y,-z'
'x,-y,z'
loop_
_atom_site_label
_atom_site_fract_x
_atom_site_fract_y
_atom_site_fract_z
Al1 0.067 0.000 0.237
Re1 0.500 0.500 0.000
Pt1 0.000 0.500 0.500
```

Properties
relative energy among the computed polymorphs = 235.1 meV per atom
magnetization = 0.000 μB/cell
mass density = 11.97 Mg/m³
E_form = -366 meV/atom

***

# 21
BaNbTe2: relaxed, PBE.

Cell and atoms, written as CIF:
```
data_BaNbTe2
_chemical_formula_sum 'Ba1 Nb1 Te2'
_symmetry_space_group_name_H-M 'P 4/m m m'
_symmetry_Int_Tables_number 123
_symmetry_space_group_name_Hall '-P 4 2'
_cell_length_a 3.641
_cell_length_b 3.641
_cell_length_c 8.167
_cell_angle_alpha 90.00
_cell_angle_beta 90.00
_cell_angle_gamma 90.00
loop_
_atom_site_label
_atom_site_fract_x
_atom_site_fract_y
_atom_site_fract_z
Ba1 0.000 0.000 0.000
Nb1 0.000 0.000 0.500
Te1 0.500 0.500 0.301
```

Properties
relative energy among the computed polymorphs = 0.0 meV per atom
magnetization = 0.001 μB/cell
mass density = 7.44 Mg/m³
uncorrected formation energy = -0.5418 eV per atom

***

# 22
NiWIN2: relaxed, PBE.

Cell and atoms, written as CIF:
```
data_NiWIN2
_chemical_formula_sum 'Ni1 W1 I1 N2'
_symmetry_space_group_name_H-M 'P 4/m m m'
_symmetry_Int_Tables_number 123
_symmetry_space_group_name_Hall '-P 4 2'
_cell_length_a 3.881
_cell_length_b 3.881
_cell_length_c 5.881
_cell_angle_alpha 90.00
_cell_angle_beta 90.00
_cell_angle_gamma 90.00
loop_
_atom_site_label
_atom_site_fract_x
_atom_site_fract_y
_atom_site_fract_z
Ni1 0.000 0.000 0.000
W1 0.500 0.500 0.500
I1 0.500 0.500 0.000
N1 0.000 0.500 0.500
```

Properties
relative energy among the computed polymorphs = 0.0 meV per atom
magnetization = 0.781 μB/cell
mass density = 7.45 Mg/m³
uncorrected formation energy = 0.7207 eV per atom